This record from the Alexandria database describes crystalline K2BeMo at its relaxed geometry. The functional is PBE.

POSCAR file:
```
K2BeMo
1.0
-1.2077 2.2743 1.1654
-1.5989 -0.8926 -2.1532
-6.1071 -7.0681 7.4650
Be Mo K
1 1 2
Cartesian
-5.9836 -4.6102 5.1048
-2.9301 -1.0761 1.3723
-6.0676 -7.0224 7.4167
-3.0930 -3.5797 3.7807
```

Results
Density of states at the Fermi level in states/eV per cell: 4.20
Energy relative to the elements in kcal/mol of atoms: 33.4
Energy in eV/atom: -2.7385
Space-group type: Cmmm (65)
Total magnetization in Bohr magnetons per cell: 0.0